! CeSeO GGA-PBE relaxed; values from VASP
! - DOS at the Fermi energy: 1.4 states/eV per cell
! - ρ: 6.8 g cm⁻³
! - DFT total energy: -7.29 eV per atom
&SYSTEM
  ibrav = 0, nat = 3, ntyp = 3
/
ATOMIC_SPECIES
O 16.00 O.upf
Se 78.96 Se.upf
Ce 140.12 Ce.upf
CELL_PARAMETERS angstrom
-1.6734 -1.9354 3.5249
0.9394 -3.4839 -1.4670
2.5366 1.9122 2.2542
ATOMIC_POSITIONS crystal
O 0.1667 0.0000 0.0000
Se 0.6667 0.3333 0.6667
Ce 0.1666 0.6667 0.3333